Entry i
First-principles (GGA-PBE) data for a relaxed structure of TbHo2Ga, as listed in Alexandria.

a b c (Å): 11.4049 11.4049 11.4049
angles (deg): 17.55 17.55 17.55
Fractional coordinates of all 4 atoms:
Tb  0.0000  0.0000  0.0000
Ho  0.1021  0.1021  0.1021
Ho  0.8979  0.8979  0.8979
Ga  0.5000  0.5000  0.5000

Calculated values
Space group: No. 166
Crystal system: trigonal


Entry ii
First-principles (GGA-PBE) data for a relaxed structure of TbHo2Ga, as listed in Alexandria.

a b c (Å): 4.7155 4.7155 4.7118
angles (deg): 90.00 90.00 90.00
Fractional coordinates of all 4 atoms:
Tb  0.0000  0.0000  0.0000
Ho  0.0000  0.5000  0.5000
Ho  0.5000  0.0000  0.5000
Ga  0.5000  0.5000  0.0000

Calculated values
Space group: No. 123
Crystal system: tetragonal


Entry iii
First-principles (GGA-PBE) data for a relaxed structure of TbHo2Ga, as listed in Alexandria.

a b c (Å): 3.5085 3.5085 8.8588
angles (deg): 90.00 90.00 90.00
Fractional coordinates of all 4 atoms:
Tb  0.0000  0.0000  0.0000
Ho  0.5000  0.5000  0.2908
Ho  0.5000  0.5000  0.7092
Ga  0.0000  0.0000  0.5000

Calculated values
Space group: No. 123
Crystal system: tetragonal


Entry iv
First-principles (GGA-PBE) data for a relaxed structure of TbHo2Ga, as listed in Alexandria.

a b c (Å): 10.3703 10.3703 10.3703
angles (deg): 19.98 19.98 19.98
Fractional coordinates of all 4 atoms:
Tb  0.0000  0.0000  0.0000
Ho  0.5707  0.5707  0.5707
Ho  0.7621  0.7621  0.7621
Ga  0.1660  0.1660  0.1660

Calculated values
Space group: No. 160
Crystal system: trigonal


Order of stability, best first: entry iii, entry ii, entry iv, entry i